[1]
Density functional theory data (PBE) for Zr2Co5Ge3H2 after structural relaxation.

a b c (Å): 3.7281 3.7281 10.5661
angles (deg): 100.16 100.16 90.00
Last column: nearest neighbours and their distance in Å.
Element x y z (fractional)
Zr 0.3007 0.3007 0.6013  1 H 2.34
Zr 0.6993 0.6993 0.3987  1 H 2.34
Co 0.9149 0.4149 0.8299  2 H 1.86
Co 0.5851 0.0851 0.1701  2 H 1.86
Co 0.5000 0.5000 0.0000  2 H 1.73
Co 0.4149 0.9149 0.8299  2 H 1.86
Co 0.0851 0.5851 0.1701  2 H 1.86
Ge 0.8383 0.8383 0.6766  4 Co 2.44
Ge 0.1617 0.1617 0.3234  4 Co 2.44
Ge 0.0000 0.0000 0.0000  12 Co 2.55-2.64
H 0.5847 0.5847 0.1695  5 Co 1.73-1.86
H 0.4153 0.4153 0.8305  5 Co 1.73-1.86

The total magnetization comes out at 0.12 μB per atom. For the total energy, the calculation gives -6.48 eV/atom. The calculated volume is 142 Å³ per cell. The space-group type is I4/mmm.


[2]
Density functional theory data (PBE) for Pa2AlSi4Rh3 after structural relaxation.

a b c (Å): 4.0763 4.0763 10.1598
angles (deg): 90.00 90.00 90.00
Last column: nearest neighbours and their distance in Å.
Element x y z (fractional)
Rh 0.0000 0.5000 0.1259  5 Si 2.35-2.41
Rh 0.0000 0.0000 0.5000  4 Si 2.50
Rh 0.5000 0.0000 0.8741  5 Si 2.35-2.41
Si 0.0000 0.5000 0.3574  3 Rh 2.35-2.50, 2 Al 2.50
Si 0.5000 0.0000 0.6426  3 Rh 2.35-2.50, 2 Al 2.50
Si 0.5000 0.5000 0.0000  4 Rh 2.41
Si 0.0000 0.0000 0.0000  4 Rh 2.41
Al 0.5000 0.5000 0.5000  4 Si 2.50
Pa 0.5000 0.0000 0.2435  8 Si 3.11-3.21, 6 Rh 3.12-3.31, 2 Al 3.31
Pa 0.0000 0.5000 0.7565  8 Si 3.11-3.21, 6 Rh 3.12-3.31, 2 Al 3.31

The total magnetization comes out at 0.00 μB per atom. The calculation puts the formation energy from raw total energies at -0.850 eV/atom. The calculated volume is 169 Å³ per cell. The space-group type is P-4m2.


[3]
Density functional theory data (PBE) for BC2 after structural relaxation.

a b c (Å): 4.6098 4.6744 5.2755
angles (deg): 109.08 111.13 46.41
Last column: nearest neighbours and their distance in Å.
Element x y z (fractional)
C 0.9895 0.9948 0.5109  2 C 1.51-1.53, 2 B 1.58-1.62
C 0.5781 0.0994 0.4212  3 C 1.51-1.58, 1 B 1.61
C 0.9272 0.4218 0.0725  2 C 1.51-1.53, 2 B 1.58-1.62
C 0.2605 0.7379 0.7477  3 C 1.53-1.57, 1 B 1.63
C 0.6562 0.6788 0.8357  3 C 1.53-1.57, 1 B 1.63
C 0.3386 0.3173 0.1622  3 C 1.51-1.58, 1 B 1.61
C 0.3377 0.3375 0.6634  3 C 1.57-1.63, 1 B 1.67
C 0.5789 0.0792 0.9200  3 C 1.57-1.63, 1 B 1.67
B 0.2646 0.7234 0.2863  2 C 1.58-1.61, 1 B 1.67
B 0.6521 0.6933 0.2971  2 C 1.58-1.61, 1 B 1.67
B 0.0067 0.0106 0.9949  3 C 1.62-1.67
B 0.9099 0.4061 0.5885  3 C 1.62-1.67

The total magnetization comes out at 0.00 μB per atom. The calculated volume is 76 Å³ per cell. Its formation energy from the elements is 357 meV/atom. The space-group type is P-1. As for the relative energy among the computed polymorphs: 117 meV per atom.


[4]
Density functional theory data (PBE) for LiPmDy2 after structural relaxation.

a b c (Å): 3.6493 3.6493 8.7787
angles (deg): 90.00 90.00 90.00
Last column: nearest neighbours and their distance in Å.
Element x y z (fractional)
Pm 0.5000 0.5000 0.5000  8 Dy 3.58, 4 Pm 3.65
Dy 0.0000 0.0000 0.2171  4 Li 3.21, 4 Pm 3.58
Dy 0.0000 0.0000 0.7829  4 Li 3.21, 4 Pm 3.58
Li 0.5000 0.5000 0.0000  8 Dy 3.21

The total magnetization comes out at 0.00 μB per atom. The calculated volume is 117 Å³ per cell. Its formation energy from the elements is 75 meV/atom. The space-group type is P4/mmm. As for the relative energy among the computed polymorphs: 0 meV per atom.


[5]
Density functional theory data (PBE) for Pm2P4RuRh3 after structural relaxation.

a b c (Å): 4.1623 4.1623 9.5266
angles (deg): 90.00 90.00 90.00
Last column: nearest neighbours and their distance in Å.
Element x y z (fractional)
Pm 0.0000 0.5000 0.7605  8 P 3.09-3.18, 7 Rh 3.18-3.37, 2 Ru 3.24
Pm 0.5000 0.0000 0.2395  8 P 3.09-3.18, 7 Rh 3.18-3.37, 2 Ru 3.24
Rh 0.0000 0.5000 0.1140  5 P 2.35-2.41
Rh 0.5000 0.0000 0.8860  5 P 2.35-2.41
Rh 0.0000 0.0000 0.5000  4 P 2.44
P 0.5000 0.0000 0.6332  3 Rh 2.41-2.44, 2 Ru 2.44
P 0.0000 0.5000 0.3668  3 Rh 2.41-2.44, 2 Ru 2.44
P 0.0000 0.0000 0.0000  4 Rh 2.35
P 0.5000 0.5000 0.0000  4 Rh 2.35
Ru 0.5000 0.5000 0.5000  4 P 2.44

The total magnetization comes out at 0.00 μB per atom. The calculated volume is 165 Å³ per cell. Its formation energy from the elements is -1088 meV/atom. The space-group type is P-4m2.


[6]
Density functional theory data (PBE) for TlSnAu after structural relaxation.

a b c (Å): 4.3112 4.3112 8.2507
angles (deg): 90.00 90.00 90.00
Last column: nearest neighbours and their distance in Å.
Element x y z (fractional)
Au 0.5000 0.0000 0.1932  5 Sn 2.75-3.08
Au 0.0000 0.5000 0.8068  5 Sn 2.75-3.08
Tl 0.0000 0.0000 0.5000  4 Tl 3.05, 4 Au 3.32
Tl 0.5000 0.5000 0.5000  4 Tl 3.05, 4 Au 3.32
Sn 0.0000 0.5000 0.1406  5 Au 2.75-3.08
Sn 0.5000 0.0000 0.8594  5 Au 2.75-3.08

The total magnetization comes out at 0.00 μB per atom. The calculated volume is 153 Å³ per cell. Its formation energy from the elements is -6 meV/atom. The space-group type is P4/nmm.


[7]
Density functional theory data (PBE) for LaYBiRu2 after structural relaxation.

a b c (Å): 4.7852 6.1856 4.7852
angles (deg): 90.00 90.00 90.00
Last column: nearest neighbours and their distance in Å.
Element x y z (fractional)
Y 0.5000 0.5000 0.5000  4 Bi 3.38
Ru 0.0000 0.0000 0.5000  2 La 2.39
Ru 0.5000 0.0000 0.0000  2 La 2.39
La 0.0000 0.0000 0.0000  4 Ru 2.39
Bi 0.0000 0.5000 0.0000  2 La 3.09, 4 Y 3.38

The total magnetization comes out at 0.00 μB per atom. The calculated volume is 142 Å³ per cell. Its formation energy from the elements is 842 meV/atom. The space-group type is P4/mmm.


[8]
Density functional theory data (PBE) for IrBrCl after structural relaxation.

a b c (Å): 4.6563 4.6563 4.6563
angles (deg): 60.00 60.00 60.00
Last column: nearest neighbours and their distance in Å.
Element x y z (fractional)
Br 0.7500 0.7500 0.7500  4 Ir 2.85, 4 Cl 2.85
Cl 0.0000 0.0000 0.0000  4 Br 2.85
Ir 0.5000 0.5000 0.5000  4 Br 2.85

The total magnetization comes out at 0.95 μB per atom. The calculation puts the formation energy from raw total energies at 1.512 eV/atom. The calculated volume is 71 Å³ per cell. The space-group type is F-43m. As for the relative energy among the computed polymorphs: 1339 meV per atom.


[9]
Density functional theory data (PBE) for K2NaAg after structural relaxation.

a b c (Å): 4.4801 4.4801 11.4171
angles (deg): 78.69 78.69 60.00
Last column: nearest neighbours and their distance in Å.
Element x y z (fractional)
K 0.0661 0.0661 0.8016  3 Ag 3.41
K 0.2671 0.2671 0.1986  3 Ag 3.39
Na 0.5003 0.5003 0.4990  6 K 4.22-4.24, 6 Na 4.48
Ag 0.6664 0.6664 0.0009  6 K 3.39-3.41

The total magnetization comes out at 0.00 μB per atom. The calculated volume is 193 Å³ per cell. Its formation energy from the elements is 103 meV/atom. The space-group type is R3m. As for the relative energy among the computed polymorphs: 106 meV per atom.


[10]
Density functional theory data (PBE) for LiTl2GePb after structural relaxation.

a b c (Å): 5.8968 5.1148 5.8968
angles (deg): 90.00 90.00 90.00
Last column: nearest neighbours and their distance in Å.
Element x y z (fractional)
Tl 0.5000 0.0000 0.0000  2 Pb 2.95
Tl 0.0000 0.0000 0.5000  2 Pb 2.95
Li 0.0000 0.5000 0.0000  2 Pb 2.56
Ge 0.5000 0.5000 0.5000  8 Tl 3.90, 4 Li 4.17
Pb 0.0000 0.0000 0.0000  2 Li 2.56

The total magnetization comes out at 0.14 μB per atom. The calculated volume is 178 Å³ per cell. Its formation energy from the elements is 579 meV/atom. The space-group type is P4/mmm.


The lowest calculated volume belongs to which entry?
IrBrCl


Look up the calculated volume of the third one.
76 Å³ per cell